(1)
# La4PNCl2 | Alexandria via LeMat-Bulk | GGA-PBE | relaxed
data_La4PNCl2
_chemical_formula_sum 'La4 P1 N1 Cl2'
_symmetry_space_group_name_H-M 'P 1 2/m 1'
_symmetry_Int_Tables_number 10
_cell_length_a 7.015
_cell_length_b 3.982
_cell_length_c 7.465
_cell_angle_alpha 90.00
_cell_angle_beta 107.95
_cell_angle_gamma 90.00
loop_
_symmetry_equiv_pos_as_xyz
'x,y,z'
'-x,-y,-z'
'-x,y,-z'
'x,-y,z'
loop_
_atom_site_label
_atom_site_type_symbol
_atom_site_fract_x
_atom_site_fract_y
_atom_site_fract_z
La1 La 0.209 0.000 0.199
La2 La 0.231 0.500 0.792
P1 P 0.500 0.000 0.000
N1 N 0.000 0.500 0.000
Cl1 Cl 0.000 0.000 0.500
Cl2 Cl 0.500 0.500 0.500
# Volume, Å³ per atom: 24.79


(2)
# LaPN2Cl | Alexandria via LeMat-Bulk | GGA-PBE | relaxed
data_LaPN2Cl
_chemical_formula_sum 'La2 P2 N4 Cl2'
_symmetry_space_group_name_H-M 'P 1 21/m 1'
_symmetry_Int_Tables_number 11
_cell_length_a 5.802
_cell_length_b 3.751
_cell_length_c 8.773
_cell_angle_alpha 90.00
_cell_angle_beta 105.33
_cell_angle_gamma 90.00
loop_
_symmetry_equiv_pos_as_xyz
'x,y,z'
'-x,-y,-z'
'-x,y+1/2,-z'
'x,-y+1/2,z'
loop_
_atom_site_label
_atom_site_type_symbol
_atom_site_fract_x
_atom_site_fract_y
_atom_site_fract_z
La1 La 0.126 0.250 0.268
P1 P 0.441 0.250 0.895
N1 N 0.163 0.250 0.845
N2 N 0.353 0.750 0.187
Cl1 Cl 0.255 0.750 0.536
# Volume, Å³ per atom: 18.41


(3)
# LaP2NCl | Alexandria via LeMat-Bulk | GGA-PBE | relaxed
data_LaP2NCl
_chemical_formula_sum 'La1 P2 N1 Cl1'
_symmetry_space_group_name_H-M 'P 4/m m m'
_symmetry_Int_Tables_number 123
_symmetry_space_group_name_Hall '-P 4 2'
_cell_length_a 5.921
_cell_length_b 5.921
_cell_length_c 5.629
_cell_angle_alpha 90.00
_cell_angle_beta 90.00
_cell_angle_gamma 90.00
loop_
_atom_site_label
_atom_site_type_symbol
_atom_site_fract_x
_atom_site_fract_y
_atom_site_fract_z
La1 La 0.000 0.000 0.000
P1 P 0.000 0.500 0.000
N1 N 0.500 0.500 0.500
Cl1 Cl 0.000 0.000 0.500
# Volume, Å³ per atom: 39.47


no.,E (Ry/atom)
1,-0.4608
2,-0.4991
3,-0.3032